Entry 1:
A geometry-optimized CdPCl2 structure, computed with PBE.

Its total energy is -10.69 eV per formula unit. The uncorrected formation energy is -0.1684 eV per atom. For the density of states at the Fermi level, the calculation gives 0.109 states/eV per atom. As for the distance to the lowest polymorph of the same formula: 21.8 kJ/mol of atoms.

The space group is P2/m (No. 10) and the conventional cell measures 5.4110, 3.5009 and 6.8665 Å, with angles of 90.00, 113.13 and 90.00 degrees. The inequivalent atoms are Cd at (0.0000, 0.0000, 0.0000), P at (0.5000, 0.0000, 0.0000) and Cl at (0.3640, 0.5000, 0.7284).

***

Entry 2:
A geometry-optimized Cs3YNi structure, computed with PBE.

Its total energy is -10.11 eV per formula unit. For the energy of formation, the calculation gives 0.94 eV per atom. For the density of states at the Fermi level, the calculation gives 1.612 states/eV per atom.

The space group is Pm-3m (No. 221) and the conventional cell measures 6.6899, 6.6899 and 6.6899 Å, with angles of 90.00, 90.00 and 90.00 degrees. The inequivalent atoms are Cs at (0.0000, 0.0000, 0.5000), Y at (0.5000, 0.5000, 0.5000) and Ni at (0.0000, 0.0000, 0.0000).

***

Entry 3:
A geometry-optimized EuDyCd structure, computed with PBE.

Its total energy is -15.95 eV per formula unit. For the energy of formation, the calculation gives -0.05 eV per atom. For the density of states at the Fermi level, the calculation gives 1.018 states/eV per atom. As for the distance to the lowest polymorph of the same formula: 10.7 kJ/mol of atoms.

The space group is P3m1 (No. 156) and the conventional cell measures 5.3951, 5.3951 and 3.5937 Å, with angles of 90.00, 90.00 and 120.00 degrees. The inequivalent atoms are Eu at (0.0000, 0.0000, 0.0000), Dy at (0.6667, 0.3333, 0.5740) and Cd at (0.3333, 0.6667, 0.3378).

***

Entry 4:
A geometry-optimized GdYErIn structure, computed with PBE.

Its total energy is -28.49 eV per formula unit. For the energy of formation, the calculation gives -0.16 eV per atom. For the density of states at the Fermi level, the calculation gives 1.301 states/eV per atom.

The space group is F-43m (No. 216) and the conventional cell measures 7.7097, 7.7097 and 7.7097 Å, with angles of 90.00, 90.00 and 90.00 degrees. The inequivalent atoms are Gd at (0.0000, 0.0000, 0.0000), Y at (0.0000, 0.0000, 0.5000), Er at (0.2500, 0.2500, 0.7500) and In at (0.2500, 0.2500, 0.2500).

***

Entry 5:
A geometry-optimized Be2FeBr structure, computed with PBE.

Its total energy is -14.27 eV per formula unit. The uncorrected formation energy is 0.8300 eV per atom. For the density of states at the Fermi level, the calculation gives 0.841 states/eV per atom. As for the distance to the lowest polymorph of the same formula: 54.1 kJ/mol of atoms.

The space group is I4/mmm (No. 139) and the conventional cell measures 3.4925, 3.4925 and 7.9226 Å, with angles of 90.00, 90.00 and 90.00 degrees. The inequivalent atoms are Be at (0.0000, 0.5000, 0.2500), Fe at (0.0000, 0.0000, 0.0000) and Br at (0.0000, 0.0000, 0.5000).

***

Entry 6:
A geometry-optimized Ba2P structure, computed with PBE.

Its total energy is -7.99 eV per formula unit. For the energy of formation, the calculation gives 0.42 eV per atom. For the density of states at the Fermi level, the calculation gives 0.636 states/eV per atom.

The space group is Fd-3m (No. 227, origin choice 2) and the conventional cell measures 9.5978, 9.5978 and 9.5978 Å, with angles of 90.00, 90.00 and 90.00 degrees. The inequivalent atoms are Ba at (0.0000, 0.0000, 0.0000) and P at (0.1250, 0.1250, 0.6250).

***

Entry 7:
A geometry-optimized Th3BiRuS structure, computed with PBE.

Its total energy is -44.02 eV per formula unit. The uncorrected formation energy is -0.7461 eV per atom. For the density of states at the Fermi level, the calculation gives 0.751 states/eV per atom.

The space group is P2_1/m (No. 11) and the conventional cell measures 8.2194, 4.3909 and 9.9397 Å, with angles of 90.00, 113.16 and 90.00 degrees. The inequivalent atoms are Th at (0.0217, 0.2500, 0.3456), Th at (0.2272, 0.2500, 0.9690), Th at (0.4191, 0.7500, 0.6419), Bi at (0.2512, 0.7500, 0.2518), Ru at (0.3879, 0.7500, 0.9018) and S at (0.1958, 0.2500, 0.6507).

***

Entry 8:
A geometry-optimized Tb2PrAl structure, computed with PBE.

Its total energy is -18.54 eV per formula unit. For the energy of formation, the calculation gives -0.19 eV per atom. For the density of states at the Fermi level, the calculation gives 0.827 states/eV per atom. As for the distance to the lowest polymorph of the same formula: 0.0 kJ/mol of atoms.

The space group is P4/mmm (No. 123) and the conventional cell measures 3.5567, 3.5567 and 9.1690 Å, with angles of 90.00, 90.00 and 90.00 degrees. The inequivalent atoms are Tb at (0.0000, 0.0000, 0.2082), Pr at (0.5000, 0.5000, 0.5000) and Al at (0.5000, 0.5000, 0.0000).

***

Entry 9:
A geometry-optimized Sr2Ag4SnGe3 structure, computed with PBE.

Its total energy is -35.50 eV per formula unit. For the energy of formation, the calculation gives -0.29 eV per atom. For the density of states at the Fermi level, the calculation gives 0.521 states/eV per atom.

The space group is P-4m2 (No. 115) and the conventional cell measures 4.5249, 4.5249 and 11.3809 Å, with angles of 90.00, 90.00 and 90.00 degrees. The inequivalent atoms are Sr at (0.0000, 0.5000, 0.2376), Ag at (0.0000, 0.0000, 0.0000), Ag at (0.0000, 0.5000, 0.6457), Ag at (0.5000, 0.5000, 0.0000), Sn at (0.0000, 0.0000, 0.5000), Ge at (0.0000, 0.5000, 0.8724) and Ge at (0.5000, 0.5000, 0.5000).

***

Entry 10:
A geometry-optimized NbAlGa2 structure, computed with PBE.

Its total energy is -19.71 eV per formula unit. For the energy of formation, the calculation gives 0.04 eV per atom. For the density of states at the Fermi level, the calculation gives 0.621 states/eV per atom.

The space group is R3m (No. 160, hexagonal axes) and the conventional cell measures 3.9967, 3.9967 and 16.0424 Å, with angles of 90.00, 90.00 and 120.00 degrees. The inequivalent atoms are Nb at (0.0000, 0.0000, 0.0000), Al at (0.0000, 0.0000, 0.1821), Ga at (0.0000, 0.0000, 0.4215) and Ga at (0.0000, 0.0000, 0.5860).

***

Entry 11:
A geometry-optimized RbNpCuCl5 structure, computed with PBE.

Its total energy is -38.91 eV per formula unit. The uncorrected formation energy is -1.4593 eV per atom. For the density of states at the Fermi level, the calculation gives 0.684 states/eV per atom.

The space group is C2/c (No. 15) and the conventional cell measures 8.9809, 12.0185 and 10.2875 Å, with angles of 90.00, 112.17 and 90.00 degrees. The inequivalent atoms are Rb at (0.0000, 0.1498, 0.2500), Np at (0.0000, 0.5000, 0.0000), Cu at (0.0000, 0.1906, 0.7500), Cl at (0.0000, 0.4219, 0.2500), Cl at (0.1075, 0.2953, 0.6155) and Cl at (0.1890, 0.0724, 0.9161).

***

Entry 12:
A geometry-optimized Tb2Pm6SmTm structure, computed with PBE.

Its total energy is -45.80 eV per formula unit. For the energy of formation, the calculation gives 0.12 eV per atom. For the density of states at the Fermi level, the calculation gives 1.383 states/eV per atom.

The space group is C2/c (No. 15) and the conventional cell measures 9.2243, 15.2932 and 9.6467 Å, with angles of 90.00, 97.23 and 90.00 degrees. The inequivalent atoms are Tb at (0.2481, 0.0503, 0.4544), Pm at (0.0607, 0.3188, 0.9452), Pm at (0.0999, 0.1087, 0.1182), Pm at (0.2118, 0.2773, 0.3125), Sm at (0.0000, 0.4745, 0.2500) and Tm at (0.0000, 0.0889, 0.7500).